(1)
# Ce3As4Pt4

A relaxed structure of Ce3As4Pt4 (PBE-GGA, Alexandria via LeMat-Bulk).

Computed properties:
calculated formation energy = -10.82 eV per formula unit
Fermi-level density of states = 17.2 states/eV/cell

Unit cell a=4.3498 b=4.1257 c=13.0863 alpha=99.07 beta=99.57 gamma=90.00
Last column: magnetic moment on the atom in μB.
Positions (direct):
1 Ce 0.3513 0.8513 0.7027  0.62
2 Ce 0.6487 0.1487 0.2973  0.62
3 Ce 0.0000 0.0000 0.0000  0.79
4 As 0.8080 0.3080 0.6160  -0.01
5 As 0.4489 0.4489 0.8977  0.00
6 As 0.5511 0.5511 0.1023  0.00
7 As 0.1920 0.6920 0.3840  -0.01
8 Pt 0.2573 0.2573 0.5146  -0.03
9 Pt 0.0954 0.5954 0.1908  -0.02
10 Pt 0.9046 0.4046 0.8092  -0.02
11 Pt 0.7427 0.7427 0.4854  -0.03

=====

(2)
# CoPt2Se

A relaxed structure of CoPt2Se (PBE-GGA, Alexandria via LeMat-Bulk).

Computed properties:
ΔE_f (raw) = 0.79 eV/f.u.
Fermi-level density of states = 5.2 states/eV/cell

Unit cell a=5.3479 b=5.3479 c=5.3479 alpha=149.05 beta=129.17 gamma=60.71
Last column: magnetic moment on the atom in μB.
Positions (direct):
1 Co 0.2673 0.7673 0.5000  1.47
2 Pt 0.0200 0.0200 0.0000  0.10
3 Pt 0.7370 0.2370 0.5000  0.19
4 Se 0.4756 0.4756 0.0000  -0.01

=====

(3)
# Na3LaRe

A relaxed structure of Na3LaRe (PBE-GGA, Alexandria via LeMat-Bulk).

Computed properties:
calculated formation energy = 7.15 eV per formula unit
Fermi-level density of states = 5.2 states/eV/cell

Unit cell a=5.4800 b=5.4800 c=5.4800 alpha=90.00 beta=90.00 gamma=90.00
Last column: magnetic moment on the atom in μB.
Positions (direct):
1 Re 0.0000 0.0000 0.0000  2.49
2 Na 0.0000 0.5000 0.0000  -0.01
3 Na 0.0000 0.0000 0.5000  -0.01
4 Na 0.5000 0.0000 0.0000  0.02
5 La 0.5000 0.5000 0.5000  -0.47

=====

(4)
# ZnHO2

A relaxed structure of ZnHO2 (PBE-GGA, Alexandria via LeMat-Bulk).

Computed properties:
E_tot = -3.950 eV/atom
Fermi-level density of states = 7.7 states/eV/cell

Unit cell a=4.1924 b=4.1924 c=4.8770 alpha=64.54 beta=64.54 gamma=90.00
Positions (direct):
1 H 0.5000 0.5000 0.0000
2 H 0.2500 0.7500 0.5000
3 Zn 0.0000 0.0000 0.0000
4 Zn 0.7500 0.2500 0.5000
5 O 0.5586 0.1250 0.2500
6 O 0.1914 0.6250 0.2500
7 O 0.3750 0.4414 0.7500
8 O 0.8750 0.8086 0.7500

=====

(5)
# LaAs2SeF

A relaxed structure of LaAs2SeF (PBE-GGA, Alexandria via LeMat-Bulk).

Computed properties:
relative energy among the computed polymorphs = 1083.2 meV/atom
ΔE_f (raw) = 1.34 eV/f.u.
Fermi-level density of states = 11.0 states/eV/cell

Unit cell a=5.8941 b=5.8941 c=5.6556 alpha=90.00 beta=90.00 gamma=90.00
Last column: magnetic moment on the atom in μB.
Positions (direct):
1 As 0.0000 0.5000 0.0000  0.28
2 As 0.5000 0.0000 0.0000  0.28
3 F 0.5000 0.5000 0.5000  -0.22
4 Se 0.0000 0.0000 0.5000  -0.14
5 La 0.0000 0.0000 0.0000  0.02

=====

(6)
# RbSr2TaTl

A relaxed structure of RbSr2TaTl (PBE-GGA, Alexandria via LeMat-Bulk).

Computed properties:
calculated formation energy = 8.32 eV per formula unit
Fermi-level density of states = 5.4 states/eV/cell

Unit cell a=6.0394 b=5.2321 c=6.0394 alpha=90.00 beta=90.00 gamma=90.00
Last column: magnetic moment on the atom in μB.
Positions (direct):
1 Sr 0.0000 0.0000 0.5000  -0.02
2 Sr 0.5000 0.0000 0.0000  -0.01
3 Tl 0.5000 0.5000 0.5000  -0.01
4 Rb 0.0000 0.0000 0.0000  0.06
5 Ta 0.0000 0.5000 0.0000  0.91

=====

(7)
# Na4CeHo3Se8

A relaxed structure of Na4CeHo3Se8 (PBE-GGA, Alexandria via LeMat-Bulk).

Computed properties:
ΔE_f (raw) = -26.86 eV/f.u.
Fermi-level density of states = 5.0 states/eV/cell

Unit cell a=8.3459 b=8.4906 c=8.3463 alpha=119.45 beta=120.00 gamma=90.00
Last column: magnetic moment on the atom in μB.
Positions (direct):
1 Na 0.5000 0.0000 0.0000  0.00
2 Na 0.5000 0.0000 0.5000  0.00
3 Na 0.0000 0.0000 0.0000  0.00
4 Na 0.0000 0.0000 0.5000  0.00
5 Ce 0.0000 0.5000 0.0000  0.94
6 Ho 0.5000 0.5000 0.0000  0.01
7 Ho 0.5000 0.5000 0.5000  0.01
8 Ho 0.0000 0.5000 0.5000  0.01
9 Se 0.2479 0.7313 0.9835  -0.01
10 Se 0.2479 0.7313 0.4958  -0.01
11 Se 0.2574 0.2722 0.5147  0.00
12 Se 0.7356 0.7313 0.9835  -0.01
13 Se 0.2644 0.2687 0.0165  -0.01
14 Se 0.7426 0.7278 0.4853  0.00
15 Se 0.7521 0.2687 0.5042  -0.01
16 Se 0.7521 0.2687 0.0165  -0.01

=====

(8)
# BaLiHRh2

A relaxed structure of BaLiHRh2 (PBE-GGA, Alexandria via LeMat-Bulk).

Computed properties:
relative energy among the computed polymorphs = 204.9 meV/atom
Fermi-level density of states = 4.0 states/eV/cell

Unit cell a=4.1481 b=6.1654 c=4.1481 alpha=90.00 beta=90.00 gamma=90.00
Last column: magnetic moment on the atom in μB.
Positions (direct):
1 H 0.5000 0.5000 0.5000  0.01
2 Rh 0.0000 0.0000 0.5000  0.63
3 Rh 0.5000 0.0000 0.0000  0.66
4 Ba 0.0000 0.5000 0.0000  -0.02
5 Li 0.0000 0.0000 0.0000  -0.03